1.
GaF3 | Alexandria via LeMat-Bulk | PBE-GGA | optimized geometry; DOS(E_F) = 4.7 states/eV/cell; raw formation energy = -77.8 kJ/mol of atoms; space-group type = R-3m, No. 166; crystal system = trigonal; density = 3.02 g/cm³; magnetic moment = 0.878 μB/cell
1.0
1.9544 2.2716 7.4159
4.8133 1.3791 6.2374
3.6737 4.3280 5.6344
F Ga
3 1
Direct
0.9254 0.9254 0.9254
0.5000 0.5000 0.5000
0.0746 0.0746 0.0746
0.0000 0.0000 0.0000


2.
GaF3 | Alexandria via LeMat-Bulk | PBE-GGA | optimized geometry; DOS(E_F) = 4.0 states/eV/cell; raw formation energy = -133.6 kJ/mol of atoms; space-group type = R-3m, No. 166; crystal system = trigonal; density = 3.28 g/cm³; magnetic moment = 0.518 μB/cell
1.0
1.9339 0.0000 6.5957
-0.9670 1.6748 6.5957
-0.9670 -1.6748 6.5957
F Ga
3 1
Direct
0.1266 0.1266 0.1266
0.8734 0.8734 0.8734
0.0000 0.0000 0.0000
0.5000 0.5000 0.5000


3.
GaF | Alexandria via LeMat-Bulk | PBE-GGA | optimized geometry; DOS(E_F) = 0.6 states/eV/cell; raw formation energy = -155.4 kJ/mol of atoms; space-group type = Cmcm, No. 63; crystal system = orthorhombic; density = 4.22 g/cm³; magnetic moment = 0.000 μB/cell
1.0
4.7367 0.0000 0.4556
0.0000 4.8258 0.0000
-1.3807 0.0000 2.9237
Ga F
2 2
Direct
0.0870 0.2500 0.0434
0.9130 0.7500 0.9566
0.6378 0.7500 0.3195
0.3622 0.2500 0.6805


4.
GaF | Alexandria via LeMat-Bulk | PBE-GGA | optimized geometry; DOS(E_F) = 0.1 states/eV/cell; raw formation energy = -159.0 kJ/mol of atoms; space-group type = Pmn2_1, No. 31; crystal system = orthorhombic; density = 3.81 g/cm³; magnetic moment = 0.000 μB/cell
1.0
9.2753 0.0000 0.0000
0.0000 5.2188 0.0000
0.0000 0.0000 4.7874
Ga F
6 6
Direct
0.5000 0.4313 0.2498
0.2137 0.0501 0.4351
0.7137 0.9499 0.9351
0.7863 0.0501 0.4351
0.0000 0.5687 0.7498
0.2863 0.9499 0.9351
0.1506 0.4037 0.4740
0.6506 0.5963 0.9740
0.3494 0.5963 0.9740
0.8494 0.4037 0.4740
0.0000 0.9282 0.4339
0.5000 0.0718 0.9339